# La2VOF PBE with a Hubbard U optimized geometry
data_La2VOF
_chemical_formula_sum 'La2 V1 O1 F1'
_cell_length_a 4.774
_cell_length_b 4.863
_cell_length_c 4.774
_cell_angle_alpha 90.00
_cell_angle_beta 90.00
_cell_angle_gamma 90.00
_space_group_name_H-M_alt 'P 1'
_space_group_IT_number 1
_space_group_name_Hall 'P 1'
loop_
_atom_site_label
_atom_site_fract_x
_atom_site_fract_y
_atom_site_fract_z
F1 0.000 0.000 0.000
V1 0.500 0.500 0.500
O1 0.000 0.500 0.000
La1 0.000 0.000 0.500
La2 0.500 0.000 0.000
# SG ... P4/mmm
# Total energy ... -26.5 eV/f.u.